Model i:
PaMoAs2: optimized geometry, GGA-PBE.

Theoretical density ... 10.1 g/cm³

a = 2.9950 Å, b = 2.9950 Å, c = 30.3901 Å
α = 90.00°, β = 90.00°, γ = 120.00°
Space group R-3m (No. 166, hexagonal axes)
Asymmetric unit:
1 Pa 0.0000 0.0000 0.0000 x3
2 Mo 0.0000 0.0000 0.5000 x3
3 As 0.0000 0.0000 0.4155 x6

Model ii:
PaMoAs2: optimized geometry, GGA-PBE.

Theoretical density ... 10.6 g/cm³

a = 6.679 Å, b = 6.679 Å, c = 6.679 Å
α = 90.00°, β = 90.00°, γ = 90.00°
Space group Fm-3m (No. 225)
Asymmetric unit:
1 Pa 0.000 0.000 0.000 x4
2 Mo 0.000 0.000 0.500 x4
3 As 0.250 0.250 0.250 x8

Winner for stability: model ii

Model i:
Pa2MoAs: optimized geometry, GGA-PBE.

Theoretical density ... 11.8 g/cm³

a = 4.5743 Å, b = 4.5743 Å, c = 14.7748 Å
α = 90.00°, β = 90.00°, γ = 120.00°
Space group R-3m (No. 166, hexagonal axes)
Asymmetric unit:
1 Pa 0.0000 0.0000 0.2449 x6
2 Mo 0.0000 0.0000 0.5000 x3
3 As 0.0000 0.0000 0.0000 x3

Model ii:
Pa2MoAs: optimized geometry, GGA-PBE.

Theoretical density ... 12.4 g/cm³

a = 3.698 Å, b = 3.698 Å, c = 6.177 Å
α = 90.00°, β = 90.00°, γ = 90.00°
Space group P4/mmm (No. 123)
Asymmetric unit:
1 Pa 0.000 0.000 0.238 x2
2 Mo 0.500 0.500 0.500 x1
3 As 0.500 0.500 0.000 x1

Model iii:
Pa2MoAs: optimized geometry, GGA-PBE.

Theoretical density ... 12.9 g/cm³

a = 4.389 Å, b = 4.389 Å, c = 4.214 Å
α = 90.00°, β = 90.00°, γ = 90.00°
Space group P4/mmm (No. 123)
Asymmetric unit:
1 Pa 0.000 0.500 0.000 x2
2 Mo 0.000 0.000 0.500 x1
3 As 0.500 0.500 0.500 x1

Winner for stability: model ii

Model i:
MoAsPb: optimized geometry, GGA-PBE.

Theoretical density ... 9.0 g/cm³

a = 3.634 Å, b = 4.894 Å, c = 15.766 Å
α = 90.00°, β = 90.00°, γ = 90.00°
Space group Fmm2 (No. 42)
Asymmetric unit:
1 Mo 0.000 0.000 0.000 x4
2 As 0.000 0.000 0.389 x4
3 Pb 0.000 0.000 0.653 x4

Model ii:
MoAsPb: optimized geometry, GGA-PBE.

Theoretical density ... 9.8 g/cm³

a = 4.3708 Å, b = 4.3708 Å, c = 3.8615 Å
α = 90.00°, β = 90.00°, γ = 120.00°
Space group P-6m2 (No. 187)
Asymmetric unit:
1 Mo 0.0000 0.0000 0.0000 x1
2 As 0.3333 0.6667 0.0000 x1
3 Pb 0.6667 0.3333 0.5000 x1

Model iii:
MoAsPb: optimized geometry, GGA-PBE.

Theoretical density ... 10.3 g/cm³

a = 3.388 Å, b = 3.388 Å, c = 10.575 Å
α = 90.00°, β = 90.00°, γ = 90.00°
Space group I4mm (No. 107)
Asymmetric unit:
1 Mo 0.000 0.000 0.000 x2
2 As 0.000 0.000 0.404 x2
3 Pb 0.000 0.000 0.693 x2

Model iv:
MoAsPb: optimized geometry, GGA-PBE.

Theoretical density ... 9.0 g/cm³

a = 6.530 Å, b = 6.530 Å, c = 6.530 Å
α = 90.00°, β = 90.00°, γ = 90.00°
Space group F-43m (No. 216)
Asymmetric unit:
1 Mo 0.000 0.000 0.000 x4
2 As 0.250 0.250 0.250 x4
3 Pb 0.250 0.250 0.750 x4

Winner for stability: model iii

Model i:
MoAs2Pb2: optimized geometry, GGA-PBE.

Theoretical density ... 9.2 g/cm³

a = 3.603 Å, b = 3.603 Å, c = 18.359 Å
α = 90.00°, β = 90.00°, γ = 90.00°
Space group I4/mmm (No. 139)
Asymmetric unit:
1 Mo 0.000 0.000 0.000 x2
2 As 0.000 0.500 0.250 x4
3 Pb 0.000 0.000 0.412 x4

Model ii:
MoAs2Pb2: optimized geometry, GGA-PBE.

Theoretical density ... 9.2 g/cm³

a = 7.653 Å, b = 7.653 Å, c = 4.084 Å
α = 90.00°, β = 90.00°, γ = 90.00°
Space group P4/mbm (No. 127)
Asymmetric unit:
1 Mo 0.000 0.000 0.000 x2
2 As 0.179 0.321 0.500 x4
3 Pb 0.143 0.643 0.000 x4

Model iii:
MoAs2Pb2: optimized geometry, GGA-PBE.

Theoretical density ... 8.2 g/cm³

a = 4.198 Å, b = 4.198 Å, c = 15.084 Å
α = 90.00°, β = 90.00°, γ = 90.00°
Space group I4/mmm (No. 139)
Asymmetric unit:
1 Mo 0.000 0.000 0.000 x2
2 As 0.000 0.000 0.420 x4
3 Pb 0.000 0.500 0.250 x4

Winner for stability: model i